The following is a DFT calculation (PBE) of a geometry-optimized HoLuBe2 structure.

Values from the calculation:
The density of states at the Fermi level is 3.708 states/eV/cell. The calculation puts the energy at -4.069 eV/atom. The crystal system is cubic. As for the energy of formation: 0.07 eV per atom. As for the energy relative to the lowest polymorph listed for this composition: 0 meV per atom.

Cell and atoms, written as POSCAR:
```
HoLuBe2
1.0
0.000 3.365 3.365
3.365 0.000 3.365
3.365 3.365 0.000
Ho Lu Be
1 1 2
direct
0.000 0.000 0.000
0.500 0.500 0.500
0.250 0.250 0.250
0.750 0.750 0.750
```